{"formula": "SrGa8Ni2", "functional": "GGA-PBE", "state": "optimized geometry", "delta_e_f_mev_per_atom": -74.9, "volume_a3_per_cell": 263.1, "space_group": "No. 123", "rho_g_cm3": 4.8, "final_energy_ev_per_atom": -3.4803, "crystal_system": "tetragonal", "cell": [[5.645, 0.000, 0.000], [0.000, 5.645, 0.000], [0.000, 0.000, 8.254]], "species": ["Sr", "Ga", "Ga", "Ga", "Ga", "Ga", "Ga", "Ga", "Ga", "Ni", "Ni"], "fractional_positions": [[0.000, 0.000, 0.000], [0.252, 0.252, 0.326], [0.252, 0.252, 0.674], [0.252, 0.748, 0.326], [0.252, 0.748, 0.674], [0.748, 0.252, 0.326], [0.748, 0.252, 0.674], [0.748, 0.748, 0.326], [0.748, 0.748, 0.674], [0.000, 0.500, 0.500], [0.500, 0.000, 0.500]]}

---

{"formula": "Be6W", "functional": "GGA-PBE", "state": "optimized geometry", "delta_e_f_mev_per_atom": -64.6, "volume_a3_per_cell": 249.8, "space_group": "No. 62", "rho_g_cm3": 6.3, "final_energy_ev_per_atom": -5.1089, "crystal_system": "orthorhombic", "cell": [[6.758, 0.000, 0.000], [0.000, 4.302, 0.000], [0.000, 0.000, 8.594]], "species": ["Be", "Be", "Be", "Be", "Be", "Be", "Be", "Be", "Be", "Be", "Be", "Be", "Be", "Be", "Be", "Be", "Be", "Be", "Be", "Be", "Be", "Be", "Be", "Be", "W", "W", "W", "W"], "fractional_positions": [[0.059, 0.011, 0.185], [0.059, 0.489, 0.185], [0.060, 0.750, 0.399], [0.098, 0.250, 0.977], [0.147, 0.750, 0.644], [0.197, 0.250, 0.751], [0.303, 0.750, 0.251], [0.353, 0.250, 0.144], [0.402, 0.750, 0.477], [0.440, 0.250, 0.899], [0.441, 0.511, 0.685], [0.441, 0.989, 0.685], [0.559, 0.011, 0.315], [0.559, 0.489, 0.315], [0.560, 0.750, 0.101], [0.598, 0.250, 0.523], [0.647, 0.750, 0.856], [0.697, 0.250, 0.749], [0.803, 0.750, 0.249], [0.853, 0.250, 0.356], [0.902, 0.750, 0.023], [0.940, 0.250, 0.601], [0.941, 0.511, 0.815], [0.941, 0.989, 0.815], [0.231, 0.250, 0.433], [0.269, 0.750, 0.933], [0.731, 0.250, 0.067], [0.769, 0.750, 0.567]]}

---

{"formula": "PrYSb", "functional": "GGA-PBE", "state": "optimized geometry", "volume_a3_per_cell": 543.1, "space_group": "No. 46", "rho_g_cm3": 6.4, "final_energy_ev_per_atom": -5.9756, "e_form_raw_ev_per_atom": -0.854, "crystal_system": "orthorhombic", "cell": [[-4.403, 7.311, 4.218], [4.403, -7.311, 4.218], [4.403, 7.311, -4.218]], "species": ["Pr", "Pr", "Pr", "Pr", "Pr", "Pr", "Y", "Y", "Y", "Y", "Y", "Y", "Sb", "Sb", "Sb", "Sb", "Sb", "Sb"], "fractional_positions": [[0.000, 0.250, 0.250], [0.000, 0.750, 0.750], [0.407, 0.360, 0.547], [0.407, 0.860, 0.047], [0.813, 0.360, 0.953], [0.813, 0.860, 0.453], [0.149, 0.277, 0.871], [0.149, 0.778, 0.372], [0.407, 0.278, 0.129], [0.407, 0.777, 0.628], [0.664, 0.164, 0.500], [0.664, 0.664, 0.000], [0.073, 0.407, 0.667], [0.073, 0.907, 0.167], [0.406, 0.657, 0.250], [0.407, 0.157, 0.750], [0.740, 0.407, 0.333], [0.740, 0.907, 0.833]]}

---

{"formula": "TaAu2Se", "functional": "GGA-PBE", "state": "optimized geometry", "volume_a3_per_cell": 75.6, "space_group": "No. 65", "rho_g_cm3": 14.4, "final_energy_ev_per_atom": -5.2725, "e_form_raw_ev_per_atom": 0.200, "crystal_system": "orthorhombic", "cell": [[2.610, -4.470, 0.000], [2.610, 4.470, 0.000], [0.000, 0.000, 3.239]], "species": ["Ta", "Au", "Au", "Se"], "fractional_positions": [[0.000, 0.000, 0.000], [0.000, 0.500, 0.500], [0.500, 0.000, 0.500], [0.500, 0.500, 0.000]]}

---

{"formula": "Sc12Tl3In", "functional": "GGA-PBE", "state": "optimized geometry", "delta_e_f_mev_per_atom": -226.1, "volume_a3_per_cell": 370.7, "space_group": "No. 123", "rho_g_cm3": 5.7, "final_energy_ev_per_atom": -5.5896, "crystal_system": "tetragonal", "cell": [[4.525, 0.000, 0.000], [0.000, 4.525, 0.000], [0.000, 0.000, 18.108]], "species": ["Sc", "Sc", "Sc", "Sc", "Sc", "Sc", "Sc", "Sc", "Sc", "Sc", "Sc", "Sc", "Tl", "Tl", "Tl", "In"], "fractional_positions": [[0.000, 0.000, 0.000], [0.000, 0.000, 0.250], [0.000, 0.000, 0.500], [0.000, 0.000, 0.750], [0.000, 0.500, 0.124], [0.000, 0.500, 0.375], [0.000, 0.500, 0.625], [0.000, 0.500, 0.876], [0.500, 0.000, 0.124], [0.500, 0.000, 0.375], [0.500, 0.000, 0.625], [0.500, 0.000, 0.876], [0.500, 0.500, 0.250], [0.500, 0.500, 0.500], [0.500, 0.500, 0.750], [0.500, 0.500, 0.000]]}

---

{"formula": "SiWCl", "functional": "GGA-PBE", "state": "optimized geometry", "volume_a3_per_cell": 46.6, "space_group": "No. 44", "relative_energy_mev_per_atom": 443, "rho_g_cm3": 8.8, "final_energy_ev_per_atom": -6.0277, "e_form_raw_ev_per_atom": 0.713, "crystal_system": "orthorhombic", "cell": [[-1.400, 2.018, 4.125], [1.400, -2.018, 4.125], [1.400, 2.018, -4.125]], "species": ["Si", "W", "Cl"], "fractional_positions": [[0.000, 0.000, 0.000], [0.661, 0.661, 0.000], [0.317, 0.317, 0.000]]}

---

{"formula": "KFe2I6Br2", "functional": "GGA-PBE", "state": "optimized geometry", "volume_a3_per_cell": 558.2, "space_group": "No. 147", "rho_g_cm3": 3.2, "final_energy_ev_per_atom": -3.2039, "e_form_raw_ev_per_atom": -0.416, "crystal_system": "trigonal", "cell": [[7.556, 0.000, 0.000], [-3.778, 6.544, 0.000], [0.000, 0.000, 11.289]], "species": ["K", "Fe", "Fe", "I", "I", "I", "I", "I", "I", "Br", "Br"], "fractional_positions": [[0.000, 0.000, 0.000], [0.333, 0.667, 0.727], [0.667, 0.333, 0.273], [0.006, 0.392, 0.193], [0.386, 0.994, 0.193], [0.392, 0.386, 0.807], [0.608, 0.614, 0.193], [0.614, 0.006, 0.807], [0.994, 0.608, 0.807], [0.333, 0.667, 0.524], [0.667, 0.333, 0.476]]}

---

{"formula": "Tm4GaIr2", "functional": "GGA-PBE", "state": "optimized geometry", "delta_e_f_mev_per_atom": -729.9, "volume_a3_per_cell": 313.4, "space_group": "No. 1", "relative_energy_mev_per_atom": 36, "rho_g_cm3": 12.0, "final_energy_ev_per_atom": -6.2492, "crystal_system": "triclinic", "cell": [[7.063, 0.000, 0.000], [-1.775, 6.855, 0.000], [-2.179, -2.686, 6.473]], "species": ["Tm", "Tm", "Tm", "Tm", "Tm", "Tm", "Tm", "Tm", "Ga", "Ga", "Ir", "Ir", "Ir", "Ir"], "fractional_positions": [[0.000, 0.000, 0.000], [0.026, 0.183, 0.592], [0.161, 0.561, 0.051], [0.212, 0.765, 0.668], [0.397, 0.416, 0.415], [0.578, 0.056, 0.197], [0.640, 0.229, 0.790], [0.752, 0.639, 0.257], [0.273, 0.957, 0.385], [0.589, 0.677, 0.856], [0.358, 0.260, 0.977], [0.627, 0.852, 0.546], [0.847, 0.535, 0.682], [0.966, 0.367, 0.286]]}